[1]
# LiLaCuGe

A geometry-optimized LiLaCuGe structure (PBE, Alexandria).

Geometry as CIF:
```
data_LiLaCuGe
_space_group_name_H-M_alt 'F -4 3 m'
_space_group_IT_number 216
_space_group_name_Hall 'F -4 2 3'
_cell_length_a 6.961
_cell_length_b 6.961
_cell_length_c 6.961
_cell_angle_alpha 90.00
_cell_angle_beta 90.00
_cell_angle_gamma 90.00
loop_
_atom_site_label
_atom_site_type_symbol
_atom_site_fract_x
_atom_site_fract_y
_atom_site_fract_z
_atom_site_occupancy
Li1 Li 0.000 0.000 0.000 1
La1 La 0.000 0.000 0.500 1
Cu1 Cu 0.250 0.250 0.250 1
Ge1 Ge 0.250 0.250 0.750 1
```

Properties
Total magnetic moment in μB per formula unit: 0.00
Calculated total energy in eV for the cell shown: -67.6
ΔH_f (0 K) in meV per atom: -335
DOS(E_F) in states/eV per atom: 0.583
ρ in kg/m³: 5554

[2]
# Sr2YMg12Hg3

A geometry-optimized Sr2YMg12Hg3 structure (PBE, Alexandria).

Geometry as CIF:
```
data_Sr2YMg12Hg3
_space_group_name_H-M_alt 'R -3 m'
_space_group_IT_number 166
_space_group_name_Hall '-R 3 2"'
_cell_length_a 8.9174
_cell_length_b 8.9174
_cell_length_c 24.1540
_cell_angle_alpha 90.00
_cell_angle_beta 90.00
_cell_angle_gamma 120.00
loop_
_atom_site_label
_atom_site_type_symbol
_atom_site_fract_x
_atom_site_fract_y
_atom_site_fract_z
_atom_site_occupancy
Sr1 Sr 0.0000 0.0000 0.0830 1
Y1 Y 0.0000 0.0000 0.5000 1
Mg1 Mg 0.0830 0.5415 0.8701 1
Mg2 Mg 0.0944 0.5472 0.2704 1
Hg1 Hg 0.0000 0.5000 0.0000 1
```

Properties
Total magnetic moment in μB per formula unit: 0.00
Calculated total energy in eV for the cell shown: -83.4
ΔH_f (0 K) in meV per atom: 116
DOS(E_F) in states/eV per atom: 0.585
ρ in kg/m³: 3467

[3]
# CsRu2W2

A geometry-optimized CsRu2W2 structure (PBE, Alexandria).

Geometry as CIF:
```
data_CsRu2W2
_space_group_name_H-M_alt 'I 4/m m m'
_space_group_IT_number 139
_space_group_name_Hall '-I 4 2'
_cell_length_a 4.345
_cell_length_b 4.345
_cell_length_c 14.050
_cell_angle_alpha 90.00
_cell_angle_beta 90.00
_cell_angle_gamma 90.00
loop_
_atom_site_label
_atom_site_type_symbol
_atom_site_fract_x
_atom_site_fract_y
_atom_site_fract_z
_atom_site_occupancy
Cs1 Cs 0.000 0.000 0.000 1
Ru1 Ru 0.000 0.000 0.336 1
W1 W 0.000 0.500 0.250 1
```

Properties
Total magnetic moment in μB per formula unit: 0.00
Energy above the most stable polymorph in this dataset in eV per atom: 0.0000
Calculated total energy in eV for the cell shown: -83.0
ΔH_f (0 K) in meV per atom: 767
DOS(E_F) in states/eV per atom: 1.019
ρ in kg/m³: 8800

[4]
# Rb2CdCF6

A geometry-optimized Rb2CdCF6 structure (PBE, Alexandria).

Geometry as CIF:
```
data_Rb2CdCF6
_space_group_name_H-M_alt 'F m -3 m'
_space_group_IT_number 225
_space_group_name_Hall '-F 4 2 3'
_cell_length_a 8.508
_cell_length_b 8.508
_cell_length_c 8.508
_cell_angle_alpha 90.00
_cell_angle_beta 90.00
_cell_angle_gamma 90.00
loop_
_atom_site_label
_atom_site_type_symbol
_atom_site_fract_x
_atom_site_fract_y
_atom_site_fract_z
_atom_site_occupancy
Rb1 Rb 0.250 0.250 0.250 1
Cd1 Cd 0.000 0.000 0.000 1
C1 C 0.000 0.000 0.500 1
F1 F 0.000 0.000 0.266 1
```

Properties
Total magnetic moment in μB per formula unit: 0.00
Calculated total energy in eV for the cell shown: -158.1
Uncorrected formation energy in meV per atom: -1622
DOS(E_F) in states/eV per atom: 0.000
ρ in kg/m³: 4415

[5]
# LiTePCl2

A geometry-optimized LiTePCl2 structure (PBE, Alexandria).

Geometry as CIF:
```
data_LiTePCl2
_space_group_name_H-M_alt 'P 4/m m m'
_space_group_IT_number 123
_space_group_name_Hall '-P 4 2'
_cell_length_a 4.457
_cell_length_b 4.457
_cell_length_c 5.353
_cell_angle_alpha 90.00
_cell_angle_beta 90.00
_cell_angle_gamma 90.00
loop_
_atom_site_label
_atom_site_type_symbol
_atom_site_fract_x
_atom_site_fract_y
_atom_site_fract_z
_atom_site_occupancy
Li1 Li 0.000 0.000 0.000 1
Te1 Te 0.500 0.500 0.500 1
P1 P 0.000 0.000 0.500 1
Cl1 Cl 0.000 0.500 0.000 1
```

Properties
Total magnetic moment in μB per formula unit: 1.02
Energy above the most stable polymorph in this dataset in eV per atom: 0.0431
Calculated total energy in eV for the cell shown: -14.3
Uncorrected formation energy in meV per atom: -23
DOS(E_F) in states/eV per atom: 0.664
ρ in kg/m³: 3691

[6]
# Be2Cu3Pd4

A geometry-optimized Be2Cu3Pd4 structure (PBE, Alexandria).

Geometry as CIF:
```
data_Be2Cu3Pd4
_space_group_name_H-M_alt 'P -3 m 1'
_space_group_IT_number 164
_space_group_name_Hall '-P 3 2"'
_cell_length_a 4.0990
_cell_length_b 4.0990
_cell_length_c 7.7989
_cell_angle_alpha 90.00
_cell_angle_beta 90.00
_cell_angle_gamma 120.00
loop_
_atom_site_label
_atom_site_type_symbol
_atom_site_fract_x
_atom_site_fract_y
_atom_site_fract_z
_atom_site_occupancy
Be1 Be 0.3333 0.6667 0.2924 1
Cu1 Cu 0.0000 0.0000 0.5000 1
Cu2 Cu 0.3333 0.6667 0.9792 1
Pd1 Pd 0.0000 0.0000 0.1768 1
Pd2 Pd 0.3333 0.6667 0.6187 1
```

Properties
Total magnetic moment in μB per formula unit: 0.00
Calculated total energy in eV for the cell shown: -43.0
ΔH_f (0 K) in meV per atom: -273
DOS(E_F) in states/eV per atom: 0.382
ρ in kg/m³: 9284